(1)
The following is a PBE with a Hubbard U calculation of Li2Pr2VO6 after structural relaxation, from Alexandria via LeMat-Bulk.

Unit cell a=5.614 b=5.614 c=5.841 alpha=61.27 beta=61.27 gamma=60.00
Last column: magnetic moment on the atom in μB.
Fractional positions:
Li 0.429 0.429 0.714  0.00
Li 0.571 0.571 0.286  0.00
Pr 0.782 0.782 0.655  0.02
Pr 0.218 0.218 0.345  0.02
V 0.000 0.000 0.000  1.04
O 0.761 0.761 0.258  -0.03
O 0.221 0.761 0.258  -0.03
O 0.761 0.221 0.258  -0.03
O 0.239 0.779 0.742  -0.03
O 0.779 0.239 0.742  -0.03
O 0.239 0.239 0.742  -0.03

As for the space group: R-3m (166). The total energy is -6.959 eV/atom.

---

(2)
The following is a PBE with a Hubbard U calculation of Er12Fe3O5 after structural relaxation, from Alexandria via LeMat-Bulk.

Unit cell a=13.199 b=13.199 c=13.199 alpha=109.47 beta=109.47 gamma=109.47
Last column: magnetic moment on the atom in μB.
Fractional positions:
Fe 0.750 0.375 0.125  -3.58
Fe 0.875 0.750 0.125  -3.58
Fe 0.375 0.750 0.625  -3.58
Fe 0.250 0.125 0.375  -3.58
Fe 0.875 0.125 0.250  -3.58
Fe 0.375 0.625 0.250  -3.58
Fe 0.625 0.375 0.750  -3.58
Fe 0.125 0.875 0.750  -3.58
Fe 0.750 0.875 0.625  -3.58
Fe 0.625 0.250 0.375  -3.58
Fe 0.125 0.250 0.875  -3.58
Fe 0.250 0.625 0.875  -3.58
O 0.125 0.375 0.250  -0.01
O 0.000 0.500 0.000  0.01
O 0.000 0.000 0.000  0.01
O 0.375 0.250 0.125  -0.01
O 0.500 0.000 0.500  0.01
O 0.500 0.500 0.000  0.01
O 0.125 0.750 0.375  -0.01
O 0.750 0.125 0.875  -0.01
O 0.750 0.625 0.375  -0.01
O 0.375 0.125 0.750  -0.01
O 0.625 0.875 0.250  -0.01
O 0.500 0.500 0.500  0.01
O 0.500 0.000 0.000  0.01
O 0.000 0.000 0.500  0.01
O 0.250 0.375 0.625  -0.01
O 0.250 0.875 0.125  -0.01
O 0.000 0.500 0.500  0.01
O 0.875 0.250 0.625  -0.01
O 0.625 0.750 0.875  -0.01
O 0.875 0.625 0.750  -0.01
Er 0.700 0.109 0.012  -0.01
Er 0.312 0.512 0.404  -0.01
Er 0.988 0.391 0.300  -0.01
Er 0.512 0.200 0.109  -0.01
Er 0.592 0.700 0.688  -0.01
Er 0.988 0.596 0.188  -0.01
Er 0.312 0.800 0.408  -0.01
Er 0.096 0.908 0.109  -0.01
Er 0.596 0.988 0.688  -0.01
Er 0.700 0.592 0.188  -0.01
Er 0.800 0.488 0.391  -0.01
Er 0.812 0.904 0.012  -0.01
Er 0.109 0.700 0.512  -0.01
Er 0.391 0.404 0.092  -0.01
Er 0.092 0.904 0.391  -0.01
Er 0.408 0.109 0.596  -0.01
Er 0.092 0.188 0.200  -0.01
Er 0.488 0.688 0.096  -0.01
Er 0.812 0.908 0.300  -0.01
Er 0.109 0.408 0.096  -0.01
Er 0.391 0.988 0.800  -0.01
Er 0.596 0.609 0.408  -0.01
Er 0.904 0.812 0.512  -0.01
Er 0.800 0.312 0.908  -0.01
Er 0.404 0.391 0.592  -0.01
Er 0.096 0.188 0.488  -0.01
Er 0.200 0.688 0.092  -0.01
Er 0.188 0.092 0.700  -0.01
Er 0.609 0.012 0.200  -0.01
Er 0.891 0.592 0.904  -0.01
Er 0.512 0.312 0.904  -0.01
Er 0.592 0.891 0.404  -0.01
Er 0.908 0.812 0.800  -0.01
Er 0.908 0.096 0.609  -0.01
Er 0.891 0.300 0.488  -0.01
Er 0.188 0.096 0.988  -0.01
Er 0.609 0.596 0.908  -0.01
Er 0.404 0.012 0.312  -0.01
Er 0.300 0.408 0.812  -0.01
Er 0.200 0.512 0.609  -0.01
Er 0.904 0.092 0.891  -0.01
Er 0.688 0.200 0.592  -0.01
Er 0.488 0.800 0.891  -0.01
Er 0.012 0.404 0.812  -0.01
Er 0.408 0.300 0.312  -0.01
Er 0.012 0.609 0.700  -0.01
Er 0.688 0.488 0.596  -0.01
Er 0.300 0.891 0.988  -0.01

As for the space group: Ia-3d (230). The total energy is -6.069 eV/atom.